Entry 1:
Below is crystalline Cs2YCdCl6 at its relaxed geometry, with properties calculated at the PBE level.

Cell lengths 7.911, 11.189, 7.907 Å; angles 90.00, 90.00, 90.00 degrees
Fractional positions:
Cs 0.250 0.000 0.250
Cs 0.250 0.500 0.250
Cs 0.750 0.000 0.750
Cs 0.750 0.500 0.750
Y 0.250 0.250 0.748
Y 0.750 0.750 0.252
Cd 0.250 0.750 0.752
Cd 0.750 0.250 0.248
Cl 0.013 0.250 0.511
Cl 0.013 0.250 0.985
Cl 0.250 0.013 0.748
Cl 0.250 0.487 0.748
Cl 0.487 0.250 0.511
Cl 0.487 0.250 0.985
Cl 0.513 0.750 0.015
Cl 0.513 0.750 0.489
Cl 0.750 0.513 0.252
Cl 0.750 0.987 0.252
Cl 0.987 0.750 0.015
Cl 0.987 0.750 0.489

## Properties
For the total energy, the calculation gives -3.83 eV per atom. The space group is Pmmn. For the formation energy (no corrections), the calculation gives -1.82 eV per atom. As for the volume: 699.8 Å³/cell.

***

Entry 2:
Below is crystalline CsZnCdCl5 at its relaxed geometry, with properties calculated at the PBE level.

Cell lengths 7.697, 7.697, 9.492 Å; angles 103.53, 103.53, 106.29 degrees
Fractional positions:
Cs 0.149 0.851 0.750
Cs 0.851 0.149 0.250
Zn 0.194 0.806 0.250
Zn 0.806 0.194 0.750
Cd 0.500 0.500 0.000
Cd 0.500 0.500 0.500
Cl 0.103 0.275 0.926
Cl 0.197 0.597 0.390
Cl 0.275 0.103 0.426
Cl 0.403 0.803 0.110
Cl 0.427 0.573 0.750
Cl 0.573 0.427 0.250
Cl 0.597 0.197 0.890
Cl 0.725 0.897 0.574
Cl 0.803 0.403 0.610
Cl 0.897 0.725 0.074

## Properties
For the total energy, the calculation gives -2.88 eV per atom. The space group is C2/c. For the formation energy (no corrections), the calculation gives -1.35 eV per atom. As for the volume: 497.1 Å³/cell.

***

Number 1: magnetic moment 0.82 μB/f.u.. Number 2: magnetic moment 0.00 μB/f.u..